La2ReHg after structural relaxation, computed with GGA-PBE.

Cell: 8.422 8.422 8.422 Å, 28.82 28.82 28.82°
Sites, in units of the cell vectors:
Hg  0.750  0.750  0.750
La  0.982  0.982  0.982
La  0.518  0.518  0.518
Re  0.250  0.250  0.250

Mass density ... 9.0 g cm⁻³
Crystal system ... trigonal
ΔE to the lowest computed polymorph ... 0.235 eV per atom
Space group ... R-3m, No. 166
ΔE_f ... 0.204 eV/atom
DOS(E_F) ... 4.9 states/eV/f.u.


La2ReHg after structural relaxation, computed with GGA-PBE.

Cell: 10.077 10.077 10.077 Å, 20.03 20.03 20.03°
Sites, in units of the cell vectors:
Hg  0.762  0.762  0.762
La  0.006  0.006  0.006
La  0.233  0.233  0.233
Re  0.498  0.498  0.498

Mass density ... 10.5 g cm⁻³
Crystal system ... trigonal
ΔE to the lowest computed polymorph ... 0.572 eV per atom
Space group ... R3m, No. 160
ΔE_f ... 0.541 eV/atom
DOS(E_F) ... 4.1 states/eV/f.u.


La2ReHg after structural relaxation, computed with GGA-PBE.

Cell: 3.763 3.763 6.932 Å, 90.00 90.00 90.00°
Sites, in units of the cell vectors:
Hg  0.500  0.500  0.723
La  0.000  0.000  0.971
La  0.500  0.500  0.283
Re  0.000  0.000  0.523

Mass density ... 11.2 g cm⁻³
Crystal system ... tetragonal
ΔE to the lowest computed polymorph ... 0.400 eV per atom
Space group ... P4mm, No. 99
ΔE_f ... 0.369 eV/atom
DOS(E_F) ... 4.1 states/eV/f.u.


La2ReHg after structural relaxation, computed with GGA-PBE.

Cell: 5.273 5.273 5.273 Å, 60.00 60.00 60.00°
Sites, in units of the cell vectors:
Re  0.000  0.000  0.000
Hg  0.500  0.500  0.500
La  0.250  0.250  0.250
La  0.750  0.750  0.750

Mass density ... 10.6 g cm⁻³
Crystal system ... cubic
ΔE to the lowest computed polymorph ... 0.128 eV per atom
Space group ... Fm-3m, No. 225
ΔE_f ... 0.097 eV/atom
DOS(E_F) ... 5.6 states/eV/f.u.


SrLaRe2Hg after structural relaxation, computed with GGA-PBE.

Cell: 5.197 5.536 5.197 Å, 90.00 90.00 90.00°
Last column: magnetic moment on the atom in μB.
Sites, in units of the cell vectors:
Re  0.000  0.000  0.500  1.77
Re  0.500  0.000  0.000  1.14
Hg  0.000  0.000  0.000  0.04
Sr  0.500  0.500  0.500  -0.02
La  0.000  0.500  0.000  -0.11

Mass density ... 8.9 g cm⁻³
Crystal system ... tetragonal
Space group ... P4/mmm, No. 123
ΔE_f ... 1.743 eV/atom
DOS(E_F) ... 8.1 states/eV/f.u.


LaVRe2Hg after structural relaxation, computed with GGA-PBE.

Cell: 4.867 4.619 4.867 Å, 90.00 90.00 90.00°
Sites, in units of the cell vectors:
Re  0.000  0.000  0.500
Re  0.500  0.000  0.000
V  0.000  0.500  0.000
Hg  0.500  0.500  0.500
La  0.000  0.000  0.000

Mass density ... 11.6 g cm⁻³
Crystal system ... tetragonal
Space group ... P4/mmm, No. 123
ΔE_f ... 2.489 eV/atom
DOS(E_F) ... 8.6 states/eV/f.u.


LaY2ReHg after structural relaxation, computed with GGA-PBE.

Cell: 5.510 5.510 5.179 Å, 90.00 90.00 90.00°
Last column: magnetic moment on the atom in μB.
Sites, in units of the cell vectors:
Y  0.000  0.500  0.000  -0.07
Y  0.500  0.000  0.000  -0.07
Re  0.000  0.000  0.500  1.00
Hg  0.000  0.000  0.000  0.01
La  0.500  0.500  0.500  -0.08

Mass density ... 7.4 g cm⁻³
Crystal system ... tetragonal
Space group ... P4/mmm, No. 123
ΔE_f ... 0.874 eV/atom
DOS(E_F) ... 6.5 states/eV/f.u.


LaZn2ReHg after structural relaxation, computed with GGA-PBE.

Cell: 4.801 5.378 4.801 Å, 90.00 90.00 90.00°
Last column: magnetic moment on the atom in μB.
Sites, in units of the cell vectors:
Re  0.000  0.500  0.000  1.62
Zn  0.000  0.000  0.500  0.00
Zn  0.500  0.000  0.000  0.00
Hg  0.000  0.000  0.000  0.01
La  0.500  0.500  0.500  -0.09

Mass density ... 8.8 g cm⁻³
Crystal system ... tetragonal
Space group ... P4/mmm, No. 123
ΔE_f ... 0.830 eV/atom
DOS(E_F) ... 3.8 states/eV/f.u.